# PBE NpCuAgO5, relaxed
# DOS at the Fermi energy in states/eV per cell: 25.429
# Electronic total energy in eV/cell: -226.40
# Crystal system: monoclinic
# Energy relative to the elements, uncorrected in eV per atom: -1.490
# Total moment in μB/cell: 2.3
data_NpCuAgO5
_cell_length_a 6.869
_cell_length_b 9.863
_cell_length_c 7.716
_cell_angle_alpha 90.00
_cell_angle_beta 113.80
_cell_angle_gamma 90.00
_symmetry_space_group_name_H-M 'C 1 2/c 1'
_symmetry_Int_Tables_number 15
_symmetry_space_group_name_Hall '-C 2yc'
loop_
_atom_site_label
_atom_site_type_symbol
_atom_site_fract_x
_atom_site_fract_y
_atom_site_fract_z
Np1 Np 0.250 0.250 0.000
Cu1 Cu 0.000 0.040 0.250
Ag1 Ag 0.000 0.431 0.250
O1 O 0.000 0.334 0.750
O2 O 0.043 0.174 0.080
O3 O 0.248 0.076 0.851